[1]
An optimized crystal structure of CsPbBr3. Source: Alexandria, functional PBE.

The space group is Pnma (No. 62) and the conventional cell measures 8.519, 11.881 and 8.244 Å, with angles of 90.00, 90.00 and 90.00 degrees. The distinct sites, in fractional coordinates, are Cs at (0.059, 0.250, 0.016), Pb at (0.000, 0.000, 0.500), Br at (0.012, 0.750, 0.427) and Br at (0.205, 0.538, 0.797).

The raw formation energy comes out at -1.31 eV/atom. The total energy comes out at -3.222 eV per atom. For the theoretical density, the calculation gives 4.6 g cm⁻³. The calculation puts the magnetization at 0.000 μB per formula unit. For the density of states at the Fermi level, the calculation gives 0.00 states/eV/f.u.

[2]
An optimized crystal structure of ZrBe2I. Source: Alexandria, functional PBE.

The space group is Fm-3m (No. 225) and the conventional cell measures 6.593, 6.593 and 6.593 Å, with angles of 90.00, 90.00 and 90.00 degrees. The distinct sites, in fractional coordinates, are Zr at (0.000, 0.000, 0.000), Be at (0.250, 0.250, 0.250) and I at (0.000, 0.000, 0.500).

The raw formation energy comes out at 1.03 eV/atom. The total energy comes out at -3.356 eV per atom. The excess energy over the best structure of this formula in the dataset is 0.299 eV/atom. For the theoretical density, the calculation gives 5.5 g cm⁻³. The calculation puts the magnetization at 0.000 μB per formula unit. For the density of states at the Fermi level, the calculation gives 3.82 states/eV/f.u.

What is the formula in the first record? CsPbBr3

What is the raw formation energy in the first record? -1.31 eV/atom